A plane-wave DFT calculation with PBE-GGA was carried out for a geometry-optimized NpNi4Sb structure.

Summary:
- raw formation energy (eV per atom) = -0.15
- space group = F-43m
- total magnetic moment (μB/f.u.) = 2.13
- calculated density (kg/m3) = 11151

Structure (CIF):
```
data_NpNi4Sb
_space_group_name_H-M_alt 'P 1'
_space_group_IT_number 1
_cell_length_a 5.000
_cell_length_b 5.000
_cell_length_c 5.000
_cell_angle_alpha 60.00
_cell_angle_beta 60.00
_cell_angle_gamma 60.00
loop_
_space_group_symop_operation_xyz
'x,y,z'
loop_
_atom_site_label
_atom_site_fract_x
_atom_site_fract_y
_atom_site_fract_z
Np1 0.000 0.000 0.000
Ni1 0.123 0.626 0.626
Ni2 0.626 0.123 0.626
Ni3 0.626 0.626 0.123
Ni4 0.626 0.626 0.626
Sb1 0.250 0.250 0.250
```